[1]
# Nd4OsRu PBE relaxed
data_Nd4OsRu
_chemical_formula_sum 'Nd8 Os2 Ru2'
_cell_length_a 6.404
_cell_length_b 7.766
_cell_length_c 8.128
_cell_angle_alpha 114.24
_cell_angle_beta 108.20
_cell_angle_gamma 99.83
_space_group_name_H-M_alt 'P 1'
_space_group_IT_number 1
loop_
_space_group_symop_operation_xyz
'x,y,z'
loop_
_atom_site_label
_atom_site_fract_x
_atom_site_fract_y
_atom_site_fract_z
_atom_site_occupancy
Nd1 0.367 0.628 0.869 1
Nd2 0.358 0.955 0.651 1
Nd3 0.002 0.242 0.869 1
Nd4 0.792 0.695 0.651 1
Os1 0.749 0.999 0.998 1
Nd5 0.633 0.372 0.131 1
Ru1 0.385 0.635 0.271 1
Os2 0.251 0.001 0.002 1
Nd6 0.208 0.305 0.349 1
Nd7 0.998 0.758 0.131 1
Ru2 0.615 0.365 0.729 1
Nd8 0.642 0.045 0.349 1
# **D(E_F)**: 7.92 states/eV per cell
# **Formation energy**: -0.14 eV per atom
# **Total magnetization**: 0.00 μB/f.u.

---

[2]
# Nd2Os3Ru PBE relaxed
data_Nd2Os3Ru
_chemical_formula_sum 'Nd2 Os3 Ru1'
_cell_length_a 5.348
_cell_length_b 5.348
_cell_length_c 5.539
_cell_angle_alpha 89.93
_cell_angle_beta 118.95
_cell_angle_gamma 119.99
_space_group_name_H-M_alt 'P 1'
_space_group_IT_number 1
loop_
_space_group_symop_operation_xyz
'x,y,z'
loop_
_atom_site_label
_atom_site_fract_x
_atom_site_fract_y
_atom_site_fract_z
_atom_site_occupancy
Os1 0.500 0.000 0.500 1
Nd1 0.248 0.624 0.873 1
Os2 0.500 0.500 0.500 1
Nd2 0.752 0.376 0.127 1
Ru1 0.000 0.000 0.000 1
Os3 0.000 0.000 0.500 1
# **D(E_F)**: 7.14 states/eV per cell
# **Formation energy**: -0.10 eV per atom
# **Total magnetization**: 0.00 μB/f.u.

---

[3]
# NdOsRu PBE relaxed
data_NdOsRu
_chemical_formula_sum 'Nd2 Os2 Ru2'
_cell_length_a 5.454
_cell_length_b 5.454
_cell_length_c 5.454
_cell_angle_alpha 89.20
_cell_angle_beta 118.13
_cell_angle_gamma 122.85
_space_group_name_H-M_alt 'P 1'
_space_group_IT_number 1
loop_
_space_group_symop_operation_xyz
'x,y,z'
loop_
_atom_site_label
_atom_site_fract_x
_atom_site_fract_y
_atom_site_fract_z
_atom_site_occupancy
Os1 0.000 0.500 0.500 1
Ru1 0.000 0.500 0.000 1
Ru2 0.500 0.500 0.500 1
Nd1 0.750 0.876 0.126 1
Os2 0.500 0.000 0.500 1
Nd2 0.250 0.124 0.874 1
# **D(E_F)**: 7.59 states/eV per cell
# **Formation energy**: -0.12 eV per atom
# **Total magnetization**: 0.00 μB/f.u.
# **Energy relative to the lowest polymorph listed for this composition**: 0 meV per atom

---

[4]
# NdSi2OsRu PBE relaxed
data_NdSi2OsRu
_chemical_formula_sum 'Nd1 Si2 Os1 Ru1'
_cell_length_a 4.214
_cell_length_b 4.214
_cell_length_c 5.750
_cell_angle_alpha 111.50
_cell_angle_beta 111.50
_cell_angle_gamma 90.00
_space_group_name_H-M_alt 'P 1'
_space_group_IT_number 1
loop_
_space_group_symop_operation_xyz
'x,y,z'
loop_
_atom_site_label
_atom_site_fract_x
_atom_site_fract_y
_atom_site_fract_z
_atom_site_occupancy
Si1 0.367 0.367 0.733 1
Ru1 0.250 0.750 0.500 1
Si2 0.633 0.633 0.267 1
Os1 0.750 0.250 0.500 1
Nd1 0.000 0.000 0.000 1
# **D(E_F)**: 2.17 states/eV per cell
# **Total magnetization**: 0.00 μB/f.u.
# **Energy relative to the elements, uncorrected**: -76.7 kJ/mol of atoms

---

[5]
# NdTaOs2Ru PBE relaxed
data_NdTaOs2Ru
_chemical_formula_sum 'Nd1 Ta1 Os2 Ru1'
_cell_length_a 4.257
_cell_length_b 4.257
_cell_length_c 6.231
_cell_angle_alpha 109.98
_cell_angle_beta 109.98
_cell_angle_gamma 90.00
_space_group_name_H-M_alt 'P 1'
_space_group_IT_number 1
loop_
_space_group_symop_operation_xyz
'x,y,z'
loop_
_atom_site_label
_atom_site_fract_x
_atom_site_fract_y
_atom_site_fract_z
_atom_site_occupancy
Ta1 0.750 0.250 0.500 1
Nd1 0.000 0.000 0.000 1
Os1 0.386 0.386 0.771 1
Ru1 0.250 0.750 0.500 1
Os2 0.614 0.614 0.229 1
# **D(E_F)**: 4.99 states/eV per cell
# **Formation energy**: -0.07 eV per atom
# **Total magnetization**: 0.00 μB/f.u.

---

[6]
# NdOsS PBE relaxed
data_NdOsS
_chemical_formula_sum 'Nd2 Os2 S2'
_cell_length_a 3.732
_cell_length_b 4.126
_cell_length_c 9.939
_cell_angle_alpha 90.00
_cell_angle_beta 90.00
_cell_angle_gamma 116.89
_space_group_name_H-M_alt 'P 1'
_space_group_IT_number 1
loop_
_space_group_symop_operation_xyz
'x,y,z'
loop_
_atom_site_label
_atom_site_fract_x
_atom_site_fract_y
_atom_site_fract_z
_atom_site_occupancy
S1 0.573 0.146 0.358 1
Nd1 0.253 0.505 0.817 1
S2 0.573 0.146 0.642 1
Os1 0.064 0.128 0.500 1
Os2 0.951 0.902 0.000 1
Nd2 0.253 0.505 0.183 1
# **D(E_F)**: 4.90 states/eV per cell
# **Total magnetization**: 0.49 μB/f.u.
# **Energy relative to the elements, uncorrected**: -12.2 kJ/mol of atoms

---

[7]
# NdSb12Os4 PBE relaxed
data_NdSb12Os4
_chemical_formula_sum 'Nd1 Sb12 Os4'
_cell_length_a 8.155
_cell_length_b 8.155
_cell_length_c 8.155
_cell_angle_alpha 109.47
_cell_angle_beta 109.47
_cell_angle_gamma 109.47
_space_group_name_H-M_alt 'P 1'
_space_group_IT_number 1
loop_
_space_group_symop_operation_xyz
'x,y,z'
loop_
_atom_site_label
_atom_site_fract_x
_atom_site_fract_y
_atom_site_fract_z
_atom_site_occupancy
Sb1 0.339 0.843 0.182 1
Sb2 0.496 0.339 0.157 1
Sb3 0.661 0.157 0.818 1
Sb4 0.182 0.339 0.843 1
Sb5 0.157 0.496 0.339 1
Sb6 0.818 0.661 0.157 1
Os1 0.500 0.500 0.500 1
Sb7 0.661 0.843 0.504 1
Sb8 0.843 0.182 0.339 1
Sb9 0.339 0.157 0.496 1
Nd1 0.000 0.000 0.000 1
Sb10 0.843 0.504 0.661 1
Os2 0.500 0.000 0.000 1
Os3 0.000 0.000 0.500 1
Os4 0.000 0.500 0.000 1
Sb11 0.504 0.661 0.843 1
Sb12 0.157 0.818 0.661 1
# **D(E_F)**: 14.91 states/eV per cell
# **Total magnetization**: 0.00 μB/f.u.
# **Energy relative to the elements, uncorrected**: -15.5 kJ/mol of atoms

---

[8]
# Nd8Sb2Os PBE relaxed
data_Nd8Sb2Os
_chemical_formula_sum 'Nd8 Sb2 Os1'
_cell_length_a 4.750
_cell_length_b 7.600
_cell_length_c 9.979
_cell_angle_alpha 98.70
_cell_angle_beta 103.77
_cell_angle_gamma 90.00
_space_group_name_H-M_alt 'P 1'
_space_group_IT_number 1
loop_
_space_group_symop_operation_xyz
'x,y,z'
loop_
_atom_site_label
_atom_site_fract_x
_atom_site_fract_y
_atom_site_fract_z
_atom_site_occupancy
Nd1 0.355 0.973 0.710 1
Nd2 0.784 0.652 0.567 1
Nd3 0.405 0.491 0.810 1
Sb1 0.819 0.236 0.638 1
Sb2 0.181 0.764 0.362 1
Nd4 0.216 0.348 0.433 1
Nd5 0.645 0.027 0.290 1
Nd6 0.595 0.509 0.190 1
Nd7 0.994 0.219 0.989 1
Os1 0.500 0.000 0.000 1
Nd8 0.006 0.781 0.011 1
# **D(E_F)**: 11.45 states/eV per cell
# **Total magnetization**: 0.00 μB/f.u.
# **Energy relative to the elements, uncorrected**: -39.6 kJ/mol of atoms

---

[9]
# Nd12Sb6Os PBE relaxed
data_Nd12Sb6Os
_chemical_formula_sum 'Nd12 Sb6 Os1'
_cell_length_a 8.841
_cell_length_b 8.841
_cell_length_c 8.841
_cell_angle_alpha 99.26
_cell_angle_beta 99.26
_cell_angle_gamma 99.26
_space_group_name_H-M_alt 'P 1'
_space_group_IT_number 1
loop_
_space_group_symop_operation_xyz
'x,y,z'
loop_
_atom_site_label
_atom_site_fract_x
_atom_site_fract_y
_atom_site_fract_z
_atom_site_occupancy
Nd1 0.443 0.806 0.578 1
Sb1 0.877 0.357 0.687 1
Sb2 0.313 0.123 0.643 1
Nd2 0.684 0.945 0.013 1
Sb3 0.643 0.313 0.123 1
Sb4 0.357 0.687 0.877 1
Nd3 0.194 0.422 0.557 1
Nd4 0.987 0.316 0.055 1
Nd5 0.557 0.194 0.422 1
Nd6 0.422 0.557 0.194 1
Nd7 0.806 0.578 0.443 1
Nd8 0.578 0.443 0.806 1
Nd9 0.013 0.684 0.945 1
Os1 0.000 0.000 0.000 1
Nd10 0.945 0.013 0.684 1
Nd11 0.055 0.987 0.316 1
Nd12 0.316 0.055 0.987 1
Sb5 0.123 0.643 0.313 1
Sb6 0.687 0.877 0.357 1
# **D(E_F)**: 18.00 states/eV per cell
# **Total magnetization**: 0.00 μB/f.u.
# **Energy relative to the elements, uncorrected**: -62.5 kJ/mol of atoms

---

[10]
# NdSc3Os PBE relaxed
data_NdSc3Os
_chemical_formula_sum 'Nd1 Sc3 Os1'
_cell_length_a 5.110
_cell_length_b 5.110
_cell_length_c 5.110
_cell_angle_alpha 90.00
_cell_angle_beta 90.00
_cell_angle_gamma 90.00
_space_group_name_H-M_alt 'P 1'
_space_group_IT_number 1
loop_
_space_group_symop_operation_xyz
'x,y,z'
loop_
_atom_site_label
_atom_site_fract_x
_atom_site_fract_y
_atom_site_fract_z
_atom_site_occupancy
Nd1 0.500 0.500 0.500 1
Os1 0.000 0.000 0.000 1
Sc1 0.500 0.000 0.000 1
Sc2 0.000 0.000 0.500 1
Sc3 0.000 0.500 0.000 1
# **D(E_F)**: 6.27 states/eV per cell
# **Formation energy**: -0.09 eV per atom
# **Total magnetization**: 0.00 μB/f.u.

---

Q: Among the records above, which one has the highest D(E_F)?
A: Nd12Sb6Os